The following is a DFT calculation (PBE) of ErTmPa2As4 after structural relaxation.

Geometry as extended XYZ:
```
8
Lattice="7.0544 0.0000 0.0000 0.0000 4.0805 0.0000 -2.3594 0.0000 6.6609" Properties=species:S:1:pos:R:3 pbc="T T T"
Er 0.0000 0.0000 0.0000
Tm -1.1797 2.0403 3.3304
Pa 2.3475 0.0000 3.3304
Pa 3.5272 2.0403 0.0000
As -0.0190 0.0000 4.9868
As 1.1605 2.0403 1.6650
As 4.7140 0.0000 1.6741
As 3.5345 2.0403 4.9959
```

Values from the calculation:
Calculated density ... 9.51 g/cm³
Crystal system ... monoclinic
Energy relative to the elements ... -1.26 eV/atom
E_tot ... -56.7 eV for the cell shown